Run A
Density functional theory data (PBE) for crystalline Ho2RuI at its relaxed geometry.

Summary:
crystal system: trigonal

Cell lengths 8.2340, 8.2340, 8.2340 Å; angles 28.36, 28.36, 28.36 degrees
Last column: nearest neighbours and their distance in Å.
Positions (direct):
Ho (0.2272, 0.2272, 0.2272)  3 Ru 2.73
Ho (0.7728, 0.7728, 0.7728)  3 Ru 2.73
Ru (0.5000, 0.5000, 0.5000)  6 Ho 2.73
I (0.0000, 0.0000, 0.0000)  6 Ho 3.43



Run B
Density functional theory data (PBE) for crystalline Ho2RuI at its relaxed geometry.

Summary:
crystal system: trigonal

Cell lengths 8.2548, 8.2548, 8.2548 Å; angles 28.26, 28.26, 28.26 degrees
Last column: nearest neighbours and their distance in Å.
Positions (direct):
Ho (0.0000, 0.0000, 0.0000)  3 Ru 2.73
Ho (0.2123, 0.2123, 0.2123)  3 Ru 2.74
Ru (0.6066, 0.6066, 0.6066)  6 Ho 2.73-2.74
I (0.7736, 0.7736, 0.7736)  6 Ho 3.42-3.45



Which of them is the least stable? Correct choice: run B.



Run A
Density functional theory data (PBE) for crystalline Ho2SeI at its relaxed geometry.

Summary:
crystal system: trigonal

Cell lengths 8.3880, 8.3880, 8.3880 Å; angles 26.80, 26.80, 26.80 degrees
Last column: nearest neighbours and their distance in Å.
Positions (direct):
Ho (0.0000, 0.0000, 0.0000)  3 Se 2.83
Ho (0.1908, 0.1908, 0.1908)  3 Se 2.84
Se (0.5959, 0.5959, 0.5959)  6 Ho 2.83-2.84
I (0.7632, 0.7632, 0.7632)  6 Ho 3.20-3.24



Run B
Density functional theory data (PBE) for crystalline Ho2SeI at its relaxed geometry.

Summary:
crystal system: triclinic

Cell lengths 3.9890, 7.1233, 9.0702 Å; angles 90.17, 90.32, 90.01 degrees
Last column: nearest neighbours and their distance in Å.
Positions (direct):
Ho (0.0000, 0.0000, 0.0000)  3 Se 2.76-2.93, 1 I 3.05
Ho (0.0007, 0.1922, 0.4170)  3 I 2.96-3.12, 1 Se 2.97
Ho (0.5021, 0.6961, 0.2506)  1 Se 2.96, 3 I 2.96-3.12
Ho (0.5032, 0.4987, 0.6693)  3 Se 2.76-2.93, 1 I 3.06
Se (0.0041, 0.2473, 0.7421)  4 Ho 2.76-2.97
Se (0.4988, 0.7478, 0.9269)  4 Ho 2.76-2.96
I (0.0002, 0.3946, 0.1321)  4 Ho 2.96-3.12
I (0.5023, 0.8933, 0.5382)  4 Ho 2.96-3.12



Which of them is the least stable? Correct choice: run B.



Run A
Density functional theory data (PBE) for crystalline Ho4SiI5 at its relaxed geometry.

Summary:
crystal system: monoclinic

Cell lengths 10.7656, 10.7656, 8.7048 Å; angles 90.31, 90.31, 22.30 degrees
Last column: nearest neighbours and their distance in Å.
Positions (direct):
Ho (0.9999, 0.9999, 0.2092)  2 Si 2.77
Ho (0.0001, 0.0001, 0.7908)  2 Si 2.77
Ho (0.3749, 0.3749, 0.9983)  1 Si 2.64
Ho (0.6251, 0.6251, 0.0017)  1 Si 2.64
Si (0.5000, 0.5000, 0.0000)  6 Ho 2.64-2.77
I (0.1511, 0.1511, 0.2531)  3 Ho 3.07-3.21
I (0.1513, 0.1513, 0.7511)  3 Ho 3.07-3.22
I (0.5000, 0.5000, 0.5000)  4 Ho 3.28
I (0.8487, 0.8487, 0.2489)  3 Ho 3.07-3.22
I (0.8489, 0.8489, 0.7469)  3 Ho 3.07-3.21



Run B
Density functional theory data (PBE) for crystalline Ho4SiI5 at its relaxed geometry.

Summary:
crystal system: monoclinic

Cell lengths 9.7377, 9.7377, 8.7605 Å; angles 102.32, 102.32, 24.74 degrees
Last column: nearest neighbours and their distance in Å.
Positions (direct):
Ho (0.9998, 0.9998, 0.2079)  2 Si 2.77
Ho (0.0002, 0.0002, 0.7921)  2 Si 2.77
Ho (0.3554, 0.3554, 0.9273)  1 Si 2.68
Ho (0.6446, 0.6446, 0.0727)  1 Si 2.68
Si (0.5000, 0.5000, 0.0000)  6 Ho 2.68-2.77
I (0.1661, 0.1661, 0.3357)  3 Ho 3.07-3.12
I (0.1719, 0.1719, 0.8291)  4 Ho 3.11-3.41
I (0.5000, 0.5000, 0.5000)  4 Ho 3.30
I (0.8281, 0.8281, 0.1709)  4 Ho 3.11-3.41
I (0.8339, 0.8339, 0.6643)  3 Ho 3.07-3.12



Which of them is the least stable? Correct choice: run A.



Run A
Density functional theory data (PBE) for crystalline SmHoI2 at its relaxed geometry.

Summary:
crystal system: trigonal

Cell lengths 10.9437, 10.9437, 10.9437 Å; angles 20.40, 20.40, 20.40 degrees
Last column: nearest neighbours and their distance in Å.
Positions (direct):
Sm (0.0000, 0.0000, 0.0000)  6 I 3.19
Ho (0.5000, 0.5000, 0.5000)  2 I 3.08
I (0.4041, 0.4041, 0.4041)  1 Ho 3.08, 3 Sm 3.19
I (0.5959, 0.5959, 0.5959)  1 Ho 3.08, 3 Sm 3.19



Run B
Density functional theory data (PBE) for crystalline SmHoI2 at its relaxed geometry.

Summary:
crystal system: trigonal

Cell lengths 9.8525, 9.8525, 9.8525 Å; angles 22.33, 22.33, 22.33 degrees
Last column: nearest neighbours and their distance in Å.
Positions (direct):
Sm (0.0000, 0.0000, 0.0000)  6 I 3.25-3.34
Ho (0.1627, 0.1627, 0.1627)  6 I 3.18-3.26
I (0.4163, 0.4163, 0.4163)  3 Ho 3.18, 3 Sm 3.25
I (0.5794, 0.5794, 0.5794)  3 Ho 3.26, 3 Sm 3.34



Which of them is the least stable? Correct choice: run A.



Run A
Density functional theory data (PBE) for crystalline SmHoI at its relaxed geometry.

Summary:
crystal system: tetragonal

Cell lengths 7.4790, 7.4790, 7.4790 Å; angles 151.33, 151.33, 40.99 degrees
Last column: nearest neighbours and their distance in Å.
Positions (direct):
Sm (0.0000, 0.0000, 0.0000)  4 I 3.53, 4 Ho 3.54, 4 Sm 3.70
Ho (0.6699, 0.6699, 0.0000)  4 I 3.45, 4 Sm 3.54, 4 Ho 3.70
I (0.3306, 0.3306, 0.0000)  4 Ho 3.45, 4 Sm 3.53, 4 I 3.70



Run B
Density functional theory data (PBE) for crystalline SmHoI at its relaxed geometry.

Summary:
crystal system: trigonal

Cell lengths 3.8525, 3.8525, 7.6305 Å; angles 90.00, 90.00, 120.00 degrees
Last column: nearest neighbours and their distance in Å.
Positions (direct):
Sm (0.0000, 0.0000, 0.0000)  3 I 3.37, 3 Ho 3.47
Ho (0.6667, 0.3333, 0.3498)  3 I 3.30, 3 Sm 3.47
I (0.3333, 0.6667, 0.6686)  3 Ho 3.30, 3 Sm 3.37



Which of them is the least stable? Correct choice: run A.



Run A
Density functional theory data (PBE) for crystalline SmHoI6 at its relaxed geometry.

Summary:
crystal system: trigonal

Cell lengths 8.2202, 8.2202, 8.2202 Å; angles 55.60, 55.60, 55.60 degrees
Last column: nearest neighbours and their distance in Å.
Positions (direct):
Sm (0.0000, 0.0000, 0.0000)  6 I 3.10
Ho (0.5000, 0.5000, 0.5000)  6 I 3.03
I (0.0931, 0.7459, 0.4138)  1 Ho 3.03, 1 Sm 3.10
I (0.2541, 0.5862, 0.9069)  1 Ho 3.03, 1 Sm 3.10
I (0.4138, 0.0931, 0.7459)  1 Ho 3.03, 1 Sm 3.10
I (0.5862, 0.9069, 0.2541)  1 Ho 3.03, 1 Sm 3.10
I (0.7459, 0.4138, 0.0931)  1 Ho 3.03, 1 Sm 3.10
I (0.9069, 0.2541, 0.5862)  1 Ho 3.03, 1 Sm 3.10



Run B
Density functional theory data (PBE) for crystalline SmHoI6 at its relaxed geometry.

Summary:
crystal system: monoclinic

Cell lengths 8.1820, 8.1820, 7.5200 Å; angles 98.30, 98.30, 125.28 degrees
Last column: nearest neighbours and their distance in Å.
Positions (direct):
Sm (0.0000, 0.0000, 0.0000)  6 I 3.08-3.10
Ho (0.5000, 0.5000, 0.5000)  6 I 3.02-3.04
I (0.1086, 0.4027, 0.2551)  1 Ho 3.04, 1 Sm 3.10
I (0.2525, 0.2525, 0.7473)  1 Ho 3.02, 1 Sm 3.08
I (0.4027, 0.1086, 0.2551)  1 Ho 3.04, 1 Sm 3.10
I (0.5973, 0.8914, 0.7449)  1 Ho 3.04, 1 Sm 3.10
I (0.7475, 0.7475, 0.2527)  1 Ho 3.02, 1 Sm 3.08
I (0.8914, 0.5973, 0.7449)  1 Ho 3.04, 1 Sm 3.10



Which of them is the least stable? Correct choice: run A.